Entry 1:
A relaxed structure of KSbBr2Cl, computed with GGA-PBE.

Unit cell a=5.798 b=5.798 c=5.509 alpha=90.00 beta=90.00 gamma=90.00
Space group P4/mmm (No. 123)
Unique sites:
K 0.000 0.000 0.000 [1 per cell]
Sb 0.500 0.500 0.500 [1 per cell]
Br 0.000 0.500 0.500 [2 per cell]
Cl 0.500 0.500 0.000 [1 per cell]

As for the spin magnetization: 0.00 μB/f.u. The value obtained for the theoretical density is 3.2 g cm⁻³. The uncorrected formation energy comes out at -941 meV/atom.

Entry 2:
A relaxed structure of Ca8Al2Bi, computed with GGA-PBE.

Unit cell a=5.319 b=8.364 c=15.937 alpha=90.00 beta=90.00 gamma=90.00
Space group Immm (No. 71)
Unique sites:
Ca 0.000 0.000 0.156 [4 per cell]
Ca 0.000 0.218 0.340 [8 per cell]
Ca 0.000 0.306 0.000 [4 per cell]
Al 0.000 0.500 0.189 [4 per cell]
Bi 0.000 0.500 0.500 [2 per cell]

As for the spin magnetization: 0.00 μB/f.u. The value obtained for the theoretical density is 2.7 g cm⁻³. Its formation energy is -225 meV per atom.